[1]
VASP calculation (PBE-GGA) on an optimized crystal structure of ZrTc2SbMo.

Unit cell a=4.795 b=4.795 c=4.909 alpha=90.00 beta=90.00 gamma=90.00
Space group P4/mmm (No. 123)
Unique sites:
Zr 0.000 0.000 0.000 (multiplicity 1)
Tc 0.000 0.500 0.000 (multiplicity 2)
Sb 0.500 0.500 0.500 (multiplicity 1)
Mo 0.000 0.000 0.500 (multiplicity 1)

Calculated values
**Total energy**: -35.3 eV per cell
**Crystal system**: tetragonal

---

[2]
VASP calculation (PBE-GGA) on an optimized crystal structure of HfNbIrBr2.

Unit cell a=5.084 b=5.084 c=5.055 alpha=90.00 beta=90.00 gamma=90.00
Space group P4/mmm (No. 123)
Unique sites:
Hf 0.000 0.000 0.000 (multiplicity 1)
Nb 0.500 0.500 0.500 (multiplicity 1)
Ir 0.000 0.000 0.500 (multiplicity 1)
Br 0.000 0.500 0.000 (multiplicity 2)

Calculated values
**Total energy**: -28.1 eV per cell
**Crystal system**: tetragonal

---

[3]
VASP calculation (PBE-GGA) on an optimized crystal structure of Cs2Hg3S4.

Unit cell a=6.458 b=11.885 c=14.639 alpha=90.00 beta=90.00 gamma=90.00
Space group Ibam (No. 72)
Unique sites:
Cs 0.242 0.121 0.000 (multiplicity 8)
Hg 0.000 0.158 0.250 (multiplicity 8)
Hg 0.000 0.500 0.250 (multiplicity 4)
S 0.223 0.369 0.144 (multiplicity 16)

Calculated values
**Total energy**: -97.1 eV per cell
**Relative energy among the computed polymorphs**: 0.0000 eV per atom
**Crystal system**: orthorhombic

---

Looking at magnetization for the records above, in order, we have 2.9; 3.6; 0.0 μB per cell.
Looking at formation energy without anion corrections for the records above, in order, we have 1.79; 0.83; -0.57 eV/atom.
Looking at Fermi-level density of states for the records above, in order, we have 5.155; 6.924; 0.000 states/eV/f.u..